# MgHgSeO, relaxed, DFT GGA-PBE
# electronic total energy: -2.98 eV per atom
# calculated volume: 175.2 Å³/cell
# relative energy among the computed polymorphs: 3.12 eV per formula unit
data_MgHgSeO
_chemical_formula_sum 'Mg2 Hg2 Se2 O2'
_cell_length_a 4.832
_cell_length_b 4.832
_cell_length_c 7.504
_cell_angle_alpha 90.00
_cell_angle_beta 90.00
_cell_angle_gamma 90.00
_symmetry_space_group_name_H-M 'P 4/n m m'
_symmetry_Int_Tables_number 129
loop_
_symmetry_equiv_pos_as_xyz
'x,y,z'
'-x,-y,-z'
'-y+1/2,x,z'
'y+1/2,-x,-z'
'-x+1/2,-y+1/2,z'
'x+1/2,y+1/2,-z'
'y,-x+1/2,z'
'-y,x+1/2,-z'
'x+1/2,-y,-z'
'-x+1/2,y,z'
'-y,-x,-z'
'y,x,z'
'-x,y+1/2,-z'
'x,-y+1/2,z'
'y+1/2,x+1/2,-z'
'-y+1/2,-x+1/2,z'
loop_
_atom_site_label
_atom_site_type_symbol
_atom_site_fract_x
_atom_site_fract_y
_atom_site_fract_z
_atom_site_occupancy
Mg1 Mg 0.250 0.750 0.000 1
Hg1 Hg 0.250 0.250 0.310 1
Se1 Se 0.250 0.250 0.853 1
O1 O 0.250 0.250 0.618 1